1) ## LaAlOs2 (PBEsol)

Data for crystalline LaAlOs2 at its relaxed geometry.

Cell: 2.941 4.830 9.720 Å, 90.00 90.00 90.00°
Atoms (fractional coordinates):
La 0.000 0.000 0.000
La 0.500 0.500 0.000
Al 0.000 0.500 0.701
Al 0.500 0.000 0.701
Os 0.000 0.000 0.487
Os 0.000 0.500 0.264
Os 0.500 0.000 0.264
Os 0.500 0.500 0.487

***

2) ## LaAlOs2 (PBEsol)

Data for crystalline LaAlOs2 at its relaxed geometry.

Cell: 6.569 6.569 6.569 Å, 90.00 90.00 90.00°
Atoms (fractional coordinates):
La 0.000 0.000 0.000
La 0.000 0.500 0.500
La 0.500 0.000 0.500
La 0.500 0.500 0.000
Al 0.250 0.250 0.250
Al 0.250 0.750 0.750
Al 0.750 0.250 0.750
Al 0.750 0.750 0.250
Os 0.000 0.000 0.500
Os 0.000 0.500 0.000
Os 0.250 0.250 0.750
Os 0.250 0.750 0.250
Os 0.500 0.000 0.000
Os 0.500 0.500 0.500
Os 0.750 0.250 0.250
Os 0.750 0.750 0.750

***

Energetically preferred structure: 1) | next structure: +2.3 kJ/mol of atoms

***

1) ## LaAl2Pd2 (PBEsol)

Data for crystalline LaAl2Pd2 at its relaxed geometry.

Cell: 4.357 4.357 10.226 Å, 90.00 90.00 90.00°
Atoms (fractional coordinates):
La 0.000 0.000 0.000
La 0.500 0.500 0.500
Al 0.000 0.000 0.368
Al 0.000 0.000 0.632
Al 0.500 0.500 0.132
Al 0.500 0.500 0.868
Pd 0.000 0.500 0.250
Pd 0.000 0.500 0.750
Pd 0.500 0.000 0.250
Pd 0.500 0.000 0.750

***

2) ## LaAl2Pd2 (PBEsol)

Data for crystalline LaAl2Pd2 at its relaxed geometry.

Cell: 4.386 4.386 9.986 Å, 90.00 90.00 90.00°
Atoms (fractional coordinates):
La 0.250 0.250 0.246
La 0.750 0.750 0.754
Al 0.250 0.250 0.878
Al 0.250 0.750 0.500
Al 0.750 0.250 0.500
Al 0.750 0.750 0.122
Pd 0.250 0.250 0.629
Pd 0.250 0.750 0.000
Pd 0.750 0.250 0.000
Pd 0.750 0.750 0.371

***

Energetically preferred structure: 2) | next structure: +5.9 kJ/mol of atoms